Entry 1:
Below is a crystal of LaZnC3 relaxed with PBEsol, with properties calculated at the SCAN level.

Output
crystal system = cubic
DOS(E_F) = 3.4 states/eV per cell
formation energy = 1.590 eV/atom
space-group type = Pm-3m (221)

Cell: 4.0149 4.0149 4.0149 Å, 90.00 90.00 90.00°
With the nearest neighbours (Å) after each atom.
Positions (direct):
La (0.0000, 0.0000, 0.0000)  12 C 2.84
Zn (0.5000, 0.5000, 0.5000)  6 C 2.01
C (0.0000, 0.5000, 0.5000)  2 Zn 2.01
C (0.5000, 0.0000, 0.5000)  2 Zn 2.01
C (0.5000, 0.5000, 0.0000)  2 Zn 2.01

Entry 2:
Below is a crystal of LiC2 relaxed with PBEsol, with properties calculated at the SCAN level.

Output
crystal system = orthorhombic
DOS(E_F) = 1.3 states/eV per cell
formation energy = 1.033 eV/atom
space-group type = Cmcm (63)

Cell: 7.0813 7.0813 2.5393 Å, 90.00 90.00 158.97°
With the nearest neighbours (Å) after each atom.
Positions (direct):
Li (0.1233, 0.8767, 0.7500)  10 C 2.17-2.38
Li (0.8767, 0.1233, 0.2500)  10 C 2.17-2.38
C (0.2500, 0.7500, 0.2500)  4 C 1.81
C (0.4874, 0.5126, 0.7500)  2 C 1.32
C (0.5126, 0.4874, 0.2500)  2 C 1.32
C (0.7500, 0.2500, 0.7500)  4 C 1.81

Entry 3:
Below is a crystal of Li5C relaxed with PBEsol, with properties calculated at the SCAN level.

Output
crystal system = hexagonal
DOS(E_F) = 1.4 states/eV per cell
formation energy = 0.943 eV/atom
space-group type = P6/mmm (191)

Cell: 4.5430 4.5430 4.6986 Å, 90.00 90.00 120.00°
With the nearest neighbours (Å) after each atom.
Positions (direct):
Li (0.0000, 0.5000, 0.0000)  4 Li 2.27
Li (0.3333, 0.6667, 0.5000)  3 C 2.62, 9 Li 2.62-2.69
Li (0.5000, 0.0000, 0.0000)  4 Li 2.27
Li (0.5000, 0.5000, 0.0000)  4 Li 2.27
Li (0.6667, 0.3333, 0.5000)  3 C 2.62, 9 Li 2.62-2.69
C (0.0000, 0.0000, 0.5000)  6 Li 2.62

The highest DOS(E_F) belongs to which entry?
LaZnC3

formation energy of number 2 (LiC2)?
1.033 eV/atom

Which of these has the lowest DOS(E_F)?
LiC2